(1)
Compound: Li2YErSe4
Source: Alexandria via LeMat-Bulk
Functional: PBE-GGA
Structure: relaxed

a b c (Å): 4.056 7.022 6.901
angles (deg): 109.78 90.00 90.00
Positions (direct):
Li 0.500 0.000 0.500
Li 0.000 0.500 0.500
Y 0.000 0.000 0.000
Er 0.500 0.500 0.000
Se 0.500 0.253 0.253
Se 0.500 0.747 0.747
Se 0.000 0.252 0.748
Se 0.000 0.748 0.252

Output
Space-group type = No. 10
Formation energy (no corrections) = -1.701 eV per atom
Magnetic moment = 0.0000 μB per atom


(2)
Compound: LiYErSe3
Source: Alexandria via LeMat-Bulk
Functional: PBE-GGA
Structure: relaxed

a b c (Å): 5.720 5.719 9.023
angles (deg): 71.59 90.00 90.00
Positions (direct):
Li 0.250 0.249 0.500
Li 0.750 0.751 0.500
Y 0.250 0.911 0.179
Y 0.750 0.089 0.821
Er 0.250 0.589 0.821
Er 0.750 0.411 0.179
Se 0.750 0.916 0.168
Se 0.250 0.084 0.832
Se 0.250 0.749 0.502
Se 0.750 0.251 0.498
Se 0.750 0.582 0.836
Se 0.250 0.418 0.164

Output
Space-group type = No. 11
Formation energy (no corrections) = -1.686 eV per atom
Magnetic moment = 0.0000 μB per atom


(3)
Compound: Li4YEr3Se8
Source: Alexandria via LeMat-Bulk
Functional: PBE-GGA
Structure: relaxed

a b c (Å): 8.092 8.001 8.091
angles (deg): 120.41 120.00 90.00
Positions (direct):
Li 0.500 0.000 0.000
Li 0.500 0.000 0.500
Li 0.000 0.000 0.000
Li 0.000 0.000 0.500
Y 0.000 0.500 0.000
Er 0.500 0.500 0.000
Er 0.500 0.500 0.500
Er 0.000 0.500 0.500
Se 0.252 0.752 0.001
Se 0.252 0.752 0.504
Se 0.249 0.249 0.499
Se 0.749 0.752 0.001
Se 0.251 0.248 0.999
Se 0.751 0.751 0.501
Se 0.748 0.248 0.496
Se 0.748 0.248 0.999

Output
Space-group type = No. 166
Formation energy (no corrections) = -1.699 eV per atom
Magnetic moment = 0.0000 μB per atom


(4)
Compound: LiY2Er3Se6
Source: Alexandria via LeMat-Bulk
Functional: PBE-GGA
Structure: relaxed

a b c (Å): 4.039 8.088 9.047
angles (deg): 102.94 102.90 90.00
Positions (direct):
Li 0.500 0.000 0.000
Y 0.831 0.659 0.661
Y 0.169 0.341 0.339
Er 0.500 0.500 0.000
Er 0.833 0.171 0.666
Er 0.167 0.829 0.334
Se 0.336 0.922 0.672
Se 0.664 0.587 0.328
Se 0.664 0.078 0.328
Se 0.000 0.244 0.000
Se 0.000 0.756 0.000
Se 0.336 0.413 0.672

Output
Space-group type = No. 12
Formation energy (no corrections) = -1.736 eV per atom
Magnetic moment = 0.0000 μB per atom


(5)
Compound: Li3Er2ZrSe6
Source: Alexandria via LeMat-Bulk
Functional: PBE-GGA
Structure: relaxed

a b c (Å): 6.835 6.835 6.905
angles (deg): 99.52 99.52 119.98
Positions (direct):
Li 0.166 0.834 0.500
Li 0.834 0.166 0.500
Li 0.500 0.500 0.500
Er 0.333 0.667 0.000
Er 0.667 0.333 0.000
Zr 0.000 0.000 0.000
Se 0.915 0.591 0.747
Se 0.760 0.760 0.252
Se 0.085 0.409 0.253
Se 0.591 0.915 0.747
Se 0.240 0.240 0.748
Se 0.409 0.085 0.253

Output
Space-group type = No. 12
Formation energy (no corrections) = -1.547 eV per atom
Magnetic moment = 0.0000 μB per atom


(6)
Compound: Li4Er3ZrSe8
Source: Alexandria via LeMat-Bulk
Functional: PBE-GGA
Structure: relaxed

a b c (Å): 7.943 7.956 7.943
angles (deg): 119.96 120.00 90.00
Positions (direct):
Li 0.500 0.000 0.000
Li 0.500 0.000 0.500
Li 0.000 0.000 0.000
Li 0.000 0.000 0.500
Er 0.500 0.500 0.000
Er 0.500 0.500 0.500
Er 0.000 0.500 0.500
Zr 0.000 0.500 0.000
Se 0.246 0.751 0.005
Se 0.246 0.751 0.493
Se 0.248 0.245 0.497
Se 0.759 0.751 0.005
Se 0.241 0.249 0.995
Se 0.752 0.755 0.503
Se 0.754 0.249 0.507
Se 0.754 0.249 0.995

Output
Space-group type = No. 166
Formation energy (no corrections) = -1.584 eV per atom
Magnetic moment = 0.0008 μB per atom